Record 1
DFT (SCAN) results for CdP2SeCl at its PBEsol-relaxed geometry.

Geometry as CIF:
```
data_CdP2SeCl
_space_group_name_H-M_alt 'P 1'
_space_group_IT_number 1
_cell_length_a 4.794
_cell_length_b 4.794
_cell_length_c 4.849
_cell_angle_alpha 90.00
_cell_angle_beta 90.00
_cell_angle_gamma 90.00
loop_
_space_group_symop_operation_xyz
'x,y,z'
loop_
_atom_site_label
_atom_site_type_symbol
_atom_site_fract_x
_atom_site_fract_y
_atom_site_fract_z
Cd1 Cd 0.000 0.000 0.000
P1 P 0.000 0.500 0.500
P2 P 0.500 0.000 0.500
Se1 Se 0.500 0.500 0.500
Cl1 Cl 0.500 0.500 0.000
```

Values from the calculation:
SG = No. 123
ΔE_f (raw) = 762 meV per atom

=====

Record 2
DFT (SCAN) results for Li2AlIn at its PBEsol-relaxed geometry.

Geometry as CIF:
```
data_Li2AlIn
_space_group_name_H-M_alt 'P 1'
_space_group_IT_number 1
_cell_length_a 2.954
_cell_length_b 4.611
_cell_length_c 5.121
_cell_angle_alpha 90.00
_cell_angle_beta 90.00
_cell_angle_gamma 90.00
loop_
_space_group_symop_operation_xyz
'x,y,z'
loop_
_atom_site_label
_atom_site_type_symbol
_atom_site_fract_x
_atom_site_fract_y
_atom_site_fract_z
Li1 Li 0.000 0.000 0.000
Li2 Li 0.000 0.500 0.326
Al1 Al 0.500 0.500 0.838
In1 In 0.500 0.000 0.499
```

Values from the calculation:
SG = No. 25
formation enthalpy at 0 K = -0.2503 eV per atom